Below is a geometry-optimized CuRhW2I structure, with properties calculated at the PBE level.

## Properties
offset from the most stable computed form = 0.000 eV/atom
crystal system = tetragonal
total magnetic moment = 2.9 μB per formula unit
ΔE_f (raw) = 2.116 eV per atom
E_tot = -5.665 eV per atom
D(E_F) = 0.928 states/eV/atom
calculated volume = 123 Å³/f.u.

a b c (Å): 4.7778 4.7778 5.3911
angles (deg): 90.00 90.00 90.00
Closest atoms and distances in Å follow each position.
Space group P4/mmm (No. 123)
One atom of each set of equivalent atoms:
Cu (0.0000, 0.0000, 0.0000) (multiplicity 1)  4 I 3.38, 8 W 3.60
Rh (0.5000, 0.5000, 0.5000) (multiplicity 1)  4 W 2.39
W (0.0000, 0.5000, 0.5000) (multiplicity 2)  2 Rh 2.39
I (0.5000, 0.5000, 0.0000) (multiplicity 1)  2 Rh 2.70

***

Below is a geometry-optimized TaMnRh2 structure, with properties calculated at the PBE level.

## Properties
crystal system = trigonal
total magnetic moment = 2.4 μB per formula unit
E_tot = -8.936 eV per atom
D(E_F) = 1.219 states/eV/atom
calculated volume = 60 Å³/f.u.

a b c (Å): 2.8255 2.8255 26.2054
angles (deg): 90.00 90.00 120.00
Closest atoms and distances in Å follow each position.
Space group R3m (No. 160, hexagonal axes)
One atom of each set of equivalent atoms:
Ta (0.0000, 0.0000, 0.0000) (multiplicity 3)  3 Rh 2.72, 3 Mn 2.79, 6 Ta 2.83
Mn (0.0000, 0.0000, 0.2470) (multiplicity 3)  3 Rh 2.56, 3 Ta 2.79, 6 Mn 2.83
Rh (0.0000, 0.0000, 0.5048) (multiplicity 3)  3 Mn 2.56, 9 Rh 2.83
Rh (0.0000, 0.0000, 0.7499) (multiplicity 3)  3 Ta 2.72, 9 Rh 2.83

***

Below is a geometry-optimized RbNi2SeS structure, with properties calculated at the PBE level.

## Properties
crystal system = monoclinic
total magnetic moment = 1.6 μB per formula unit
ΔE_f (raw) = -0.520 eV per atom
E_tot = -4.549 eV per atom
D(E_F) = 1.077 states/eV/atom
calculated volume = 111 Å³/f.u.

a b c (Å): 7.4557 3.9215 7.8400
angles (deg): 90.00 104.59 90.00
Closest atoms and distances in Å follow each position.
Space group P2_1/m (No. 11)
One atom of each set of equivalent atoms:
Rb (0.0553, 0.2500, 0.2542) (multiplicity 2)  3 S 3.33-3.35, 3 Se 3.41-3.42, 3 Ni 3.67-3.72
Ni (0.4877, 0.2500, 0.1111) (multiplicity 2)  3 S 2.27-2.28, 1 Se 2.49
Ni (0.4941, 0.7500, 0.3520) (multiplicity 2)  1 S 2.20, 3 Se 2.37-2.42
Se (0.3235, 0.7500, 0.5773) (multiplicity 2)  4 Ni 2.37-2.49
S (0.3258, 0.7500, 0.0771) (multiplicity 2)  4 Ni 2.20-2.28